No. 1
ZnCr | Alexandria | PBE | optimized geometry; crystal system = monoclinic; ΔH_f (0 K) = 148 meV/atom; DOS at the Fermi energy = 3.67 states/eV/cell; M_tot = 0.000 Bohr magnetons per cell
1.0
4.598 -1.492 0.000
4.598 1.492 0.000
-1.854 0.000 5.667
Zn Cr
3 3
Direct
0.000 0.000 0.000
0.328 0.328 0.171
0.672 0.672 0.829
0.000 0.000 0.500
0.335 0.335 0.624
0.665 0.665 0.376



No. 2
PdPtC3 | Alexandria | PBE | optimized geometry; crystal system = cubic; ΔH_f (0 K) = 2752 meV/atom; DOS at the Fermi energy = 2.52 states/eV/cell; M_tot = 0.000 Bohr magnetons per cell
1.0
3.993 0.000 0.000
0.000 3.993 0.000
0.000 0.000 3.993
Pd Pt C
1 1 3
Direct
0.000 0.000 0.000
0.500 0.500 0.500
0.000 0.000 0.500
0.000 0.500 0.000
0.500 0.000 0.000



No. 3
KCr2Tc | Alexandria | PBE | optimized geometry; crystal system = monoclinic; ΔH_f (0 K) = 886 meV/atom; DOS at the Fermi energy = 2.30 states/eV/cell; M_tot = 0.000 Bohr magnetons per cell
1.0
4.458 -1.435 0.000
4.458 1.435 0.000
-0.496 0.000 6.868
K Cr Tc
1 2 1
Direct
0.000 0.000 0.000
0.232 0.232 0.608
0.768 0.768 0.392
0.500 0.500 0.500



No. 4
Li2ScIn | Alexandria | PBE | optimized geometry; crystal system = cubic; ΔH_f (0 K) = -228 meV/atom; DOS at the Fermi energy = 1.38 states/eV/cell; M_tot = 0.000 Bohr magnetons per cell
1.0
0.000 3.414 3.414
3.414 0.000 3.414
3.414 3.414 0.000
Li Sc In
2 1 1
Direct
0.000 0.000 0.000
0.250 0.250 0.250
0.750 0.750 0.750
0.500 0.500 0.500